# HfNi3Au3 | the Alexandria database | PBE-GGA | relaxed
# - Density of states at the Fermi level: 0.97 states/eV/atom
# - Total magnetization: 0.000 μB/atom
# - V: 111 Å³/f.u.
# - Energy of formation: -99 kJ/mol of formula units
data_HfNi3Au3
_space_group_name_H-M_alt 'R -3'
_space_group_IT_number 148
_space_group_name_Hall '-R 3'
_cell_length_a 6.6500
_cell_length_b 6.6500
_cell_length_c 17.3616
_cell_angle_alpha 90.00
_cell_angle_beta 90.00
_cell_angle_gamma 120.00
loop_
_atom_site_label
_atom_site_type_symbol
_atom_site_fract_x
_atom_site_fract_y
_atom_site_fract_z
Hf1 Hf 0.0000 0.0000 0.1527
Ni1 Ni 0.0221 0.2391 0.5543
Au1 Au 0.0488 0.4370 0.3816

# Cr2WCl | the Alexandria database | PBE-GGA | relaxed
# - Energy above the most stable polymorph in this dataset: 525 meV/atom
# - Density of states at the Fermi level: 1.03 states/eV/atom
# - Total magnetization: 0.234 μB/atom
# - V: 55 Å³/f.u.
# - Formation energy from raw total energies: 0.76 eV per atom
data_Cr2WCl
_space_group_name_H-M_alt 'I m m 2'
_space_group_IT_number 44
_cell_length_a 2.865
_cell_length_b 4.291
_cell_length_c 8.884
_cell_angle_alpha 90.00
_cell_angle_beta 90.00
_cell_angle_gamma 90.00
loop_
_space_group_symop_operation_xyz
'x,y,z'
'-x,-y,z'
'-x,y,z'
'x,-y,z'
'x+1/2,y+1/2,z+1/2'
'-x+1/2,-y+1/2,z+1/2'
'-x+1/2,y+1/2,z+1/2'
'x+1/2,-y+1/2,z+1/2'
loop_
_atom_site_label
_atom_site_type_symbol
_atom_site_fract_x
_atom_site_fract_y
_atom_site_fract_z
Cr1 Cr 0.000 0.000 0.000
Cr2 Cr 0.000 0.500 0.242
W1 W 0.000 0.500 0.781
Cl1 Cl 0.000 0.000 0.529

# BaZrBr2 | the Alexandria database | PBE-GGA | relaxed
# - Energy above the most stable polymorph in this dataset: 241 meV/atom
# - Density of states at the Fermi level: 0.91 states/eV/atom
# - Total magnetization: 0.373 μB/atom
# - V: 129 Å³/f.u.
# - Formation energy from raw total energies: -0.57 eV per atom
data_BaZrBr2
_space_group_name_H-M_alt 'P m m m'
_space_group_IT_number 47
_cell_length_a 3.695
_cell_length_b 5.030
_cell_length_c 6.955
_cell_angle_alpha 90.00
_cell_angle_beta 90.00
_cell_angle_gamma 90.00
loop_
_space_group_symop_operation_xyz
'x,y,z'
'-x,-y,-z'
'-x,-y,z'
'x,y,-z'
'x,-y,-z'
'-x,y,z'
'-x,y,-z'
'x,-y,z'
loop_
_atom_site_label
_atom_site_type_symbol
_atom_site_fract_x
_atom_site_fract_y
_atom_site_fract_z
Ba1 Ba 0.000 0.000 0.000
Zr1 Zr 0.500 0.000 0.500
Br1 Br 0.000 0.500 0.500
Br2 Br 0.500 0.500 0.000

# TaCoTe2 | the Alexandria database | PBE-GGA | relaxed
# - Density of states at the Fermi level: 1.02 states/eV/atom
# - Total magnetization: 0.397 μB/atom
# - V: 77 Å³/f.u.
# - Formation energy from raw total energies: 0.27 eV per atom
data_TaCoTe2
_space_group_name_H-M_alt 'P 4/m m m'
_space_group_IT_number 123
_space_group_name_Hall '-P 4 2'
_cell_length_a 3.411
_cell_length_b 3.411
_cell_length_c 6.614
_cell_angle_alpha 90.00
_cell_angle_beta 90.00
_cell_angle_gamma 90.00
loop_
_atom_site_label
_atom_site_type_symbol
_atom_site_fract_x
_atom_site_fract_y
_atom_site_fract_z
Ta1 Ta 0.000 0.000 0.000
Co1 Co 0.000 0.000 0.500
Te1 Te 0.500 0.500 0.251